First-principles (PBE) data for crystalline CeCdHg2 at its relaxed geometry, as listed in Alexandria.

Lattice parameters (Å, degrees): 7.3415 7.3415 7.3415 90.00 90.00 90.00
Closest atoms and distances in Å follow each position.
Fractional coordinates of all 16 atoms:
Ce1 0.0000 0.0000 0.0000  8 Hg 3.18
Ce2 0.0000 0.5000 0.5000  8 Hg 3.18
Ce3 0.5000 0.0000 0.5000  8 Hg 3.18
Ce4 0.5000 0.5000 0.0000  8 Hg 3.18
Cd1 0.0000 0.0000 0.5000  8 Hg 3.18
Cd2 0.0000 0.5000 0.0000  8 Hg 3.18
Cd3 0.5000 0.0000 0.0000  8 Hg 3.18
Cd4 0.5000 0.5000 0.5000  8 Hg 3.18
Hg1 0.2500 0.2500 0.2500  4 Cd 3.18, 4 Ce 3.18
Hg2 0.2500 0.2500 0.7500  4 Cd 3.18, 4 Ce 3.18
Hg3 0.2500 0.7500 0.2500  4 Cd 3.18, 4 Ce 3.18
Hg4 0.2500 0.7500 0.7500  4 Cd 3.18, 4 Ce 3.18
Hg5 0.7500 0.2500 0.2500  4 Cd 3.18, 4 Ce 3.18
Hg6 0.7500 0.2500 0.7500  4 Cd 3.18, 4 Ce 3.18
Hg7 0.7500 0.7500 0.2500  4 Cd 3.18, 4 Ce 3.18
Hg8 0.7500 0.7500 0.7500  4 Cd 3.18, 4 Ce 3.18

ΔE_f, eV/atom: -0.344
Space group: Fm-3m, No. 225
Relative energy among the computed polymorphs, meV per atom: 0